# PBE LaErInPb, relaxed
# ρ (Mg/m³): 8.86
# ΔH_f (0 K) (meV per atom): -447
# Magnetic moment (Bohr magnetons per cell): 0.0
data_LaErInPb
_symmetry_space_group_name_H-M 'F -4 3 m'
_symmetry_Int_Tables_number 216
_symmetry_space_group_name_Hall 'F -4 2 3'
_cell_length_a 7.780
_cell_length_b 7.780
_cell_length_c 7.780
_cell_angle_alpha 90.00
_cell_angle_beta 90.00
_cell_angle_gamma 90.00
loop_
_atom_site_label
_atom_site_fract_x
_atom_site_fract_y
_atom_site_fract_z
La1 0.000 0.000 0.000
Er1 0.000 0.000 0.500
In1 0.250 0.250 0.750
Pb1 0.250 0.250 0.250

=====

# PBE LaPmErIn, relaxed
# ρ (Mg/m³): 7.89
# ΔH_f (0 K) (meV per atom): -100
# Magnetic moment (Bohr magnetons per cell): 0.0
data_LaPmErIn
_symmetry_space_group_name_H-M 'F -4 3 m'
_symmetry_Int_Tables_number 216
_symmetry_space_group_name_Hall 'F -4 2 3'
_cell_length_a 7.810
_cell_length_b 7.810
_cell_length_c 7.810
_cell_angle_alpha 90.00
_cell_angle_beta 90.00
_cell_angle_gamma 90.00
loop_
_atom_site_label
_atom_site_fract_x
_atom_site_fract_y
_atom_site_fract_z
La1 0.000 0.000 0.000
Pm1 0.250 0.250 0.750
Er1 0.250 0.250 0.250
In1 0.000 0.000 0.500

=====

# PBE LaPmErIn, relaxed
# ρ (Mg/m³): 7.64
# ΔH_f (0 K) (meV per atom): -166
# Magnetic moment (Bohr magnetons per cell): 2.6
data_LaPmErIn
_symmetry_space_group_name_H-M 'F -4 3 m'
_symmetry_Int_Tables_number 216
_symmetry_space_group_name_Hall 'F -4 2 3'
_cell_length_a 7.895
_cell_length_b 7.895
_cell_length_c 7.895
_cell_angle_alpha 90.00
_cell_angle_beta 90.00
_cell_angle_gamma 90.00
loop_
_atom_site_label
_atom_site_fract_x
_atom_site_fract_y
_atom_site_fract_z
La1 0.000 0.000 0.000
Pm1 0.000 0.000 0.500
Er1 0.250 0.250 0.750
In1 0.250 0.250 0.250

=====

# PBE LaPmEr2In4, relaxed
# ρ (Mg/m³): 8.03
# ΔH_f (0 K) (meV per atom): -471
# Magnetic moment (Bohr magnetons per cell): 0.0
data_LaPmEr2In4
_symmetry_space_group_name_H-M 'R -3 m'
_symmetry_Int_Tables_number 166
_symmetry_space_group_name_Hall '-R 3 2"'
_cell_length_a 5.3963
_cell_length_b 5.3963
_cell_length_c 26.5221
_cell_angle_alpha 90.00
_cell_angle_beta 90.00
_cell_angle_gamma 120.00
loop_
_atom_site_label
_atom_site_fract_x
_atom_site_fract_y
_atom_site_fract_z
La1 0.0000 0.0000 0.0000
Pm1 0.0000 0.0000 0.5000
Er1 0.0000 0.0000 0.2500
In1 0.0000 0.0000 0.1262
In2 0.0000 0.0000 0.3762